Record 1
The following is a DFT calculation (PBE) of a relaxed structure of NdThIr2.

Summary:
For the formation energy, the calculation gives -0.819 eV/atom. The value obtained for the electronic total energy is -66.38 eV per cell. The total moment is 0.00 μB/cell. The polymorph energy (0 for the lowest one) comes out at 0 meV/atom.

The structure in CIF format:
```
data_NdThIr2
_space_group_name_H-M_alt 'A m m 2'
_space_group_IT_number 38
_space_group_name_Hall 'A 2 -2'
_cell_length_a 4.281
_cell_length_b 3.944
_cell_length_c 11.073
_cell_angle_alpha 90.00
_cell_angle_beta 90.00
_cell_angle_gamma 90.00
loop_
_atom_site_label
_atom_site_fract_x
_atom_site_fract_y
_atom_site_fract_z
Nd1 0.000 0.000 0.000
Th1 0.500 0.000 0.722
Ir1 0.000 0.000 0.269
Ir2 0.500 0.000 0.449
```

Record 2
The following is a DFT calculation (PBE) of a relaxed structure of LiCa4Mg2.

Summary:
For the formation energy, the calculation gives 0.046 eV/atom. The value obtained for the electronic total energy is -38.35 eV per cell. The total moment is 0.00 μB/cell. The polymorph energy (0 for the lowest one) comes out at 0 meV/atom.

The structure in CIF format:
```
data_LiCa4Mg2
_space_group_name_H-M_alt 'R -3 m'
_space_group_IT_number 166
_space_group_name_Hall '-R 3 2"'
_cell_length_a 5.6746
_cell_length_b 5.6746
_cell_length_c 26.2518
_cell_angle_alpha 90.00
_cell_angle_beta 90.00
_cell_angle_gamma 120.00
loop_
_atom_site_label
_atom_site_fract_x
_atom_site_fract_y
_atom_site_fract_z
Li1 0.0000 0.0000 0.0000
Ca1 0.0000 0.0000 0.1286
Ca2 0.0000 0.0000 0.3842
Mg1 0.0000 0.0000 0.2575
```

Record 3
The following is a DFT calculation (PBE) of a relaxed structure of Ba2LiAu7.

Summary:
For the formation energy, the calculation gives -0.522 eV/atom. The value obtained for the electronic total energy is -33.92 eV per cell. The total moment is 0.00 μB/cell.

The structure in CIF format:
```
data_Ba2LiAu7
_space_group_name_H-M_alt 'P -4 m 2'
_space_group_IT_number 115
_space_group_name_Hall 'P -4 -2'
_cell_length_a 4.519
_cell_length_b 4.519
_cell_length_c 12.155
_cell_angle_alpha 90.00
_cell_angle_beta 90.00
_cell_angle_gamma 90.00
loop_
_atom_site_label
_atom_site_fract_x
_atom_site_fract_y
_atom_site_fract_z
Ba1 0.000 0.500 0.243
Li1 0.000 0.000 0.500
Au1 0.000 0.000 0.000
Au2 0.000 0.500 0.633
Au3 0.000 0.500 0.858
Au4 0.500 0.500 0.000
Au5 0.500 0.500 0.500
```

Record 4
The following is a DFT calculation (PBE) of a relaxed structure of Ce2UIr9.

Summary:
For the formation energy, the calculation gives -0.530 eV/atom. The value obtained for the electronic total energy is -327.78 eV per cell. The total moment is 4.35 μB/cell.

The structure in CIF format:
```
data_Ce2UIr9
_space_group_name_H-M_alt 'R -3 m'
_space_group_IT_number 166
_space_group_name_Hall '-R 3 2"'
_cell_length_a 5.2979
_cell_length_b 5.2979
_cell_length_c 26.5828
_cell_angle_alpha 90.00
_cell_angle_beta 90.00
_cell_angle_gamma 120.00
loop_
_atom_site_label
_atom_site_fract_x
_atom_site_fract_y
_atom_site_fract_z
Ce1 0.0000 0.0000 0.1394
U1 0.0000 0.0000 0.0000
Ir1 0.0000 0.0000 0.3337
Ir2 0.0000 0.0000 0.5000
Ir3 0.0012 0.5006 0.9179
```

Record 5
The following is a DFT calculation (PBE) of a relaxed structure of Sr2ZrTe.

Summary:
The value obtained for the electronic total energy is -57.97 eV per cell. For the formation energy without anion corrections, the calculation gives 140 meV/atom. The total moment is 0.00 μB/cell.

The structure in CIF format:
```
data_Sr2ZrTe
_space_group_name_H-M_alt 'F -4 3 m'
_space_group_IT_number 216
_space_group_name_Hall 'F -4 2 3'
_cell_length_a 7.879
_cell_length_b 7.879
_cell_length_c 7.879
_cell_angle_alpha 90.00
_cell_angle_beta 90.00
_cell_angle_gamma 90.00
loop_
_atom_site_label
_atom_site_fract_x
_atom_site_fract_y
_atom_site_fract_z
Sr1 0.000 0.000 0.000
Sr2 0.250 0.250 0.250
Zr1 0.250 0.250 0.750
Te1 0.000 0.000 0.500
```

Record 6
The following is a DFT calculation (PBE) of a relaxed structure of Na2PuAlGe2.

Summary:
For the formation energy, the calculation gives -0.252 eV/atom. The value obtained for the electronic total energy is -62.92 eV per cell. The total moment is 10.18 μB/cell.

The structure in CIF format:
```
data_Na2PuAlGe2
_space_group_name_H-M_alt 'P m c 21'
_space_group_IT_number 26
_space_group_name_Hall 'P 2c -2'
_cell_length_a 4.348
_cell_length_b 8.735
_cell_length_c 7.241
_cell_angle_alpha 90.00
_cell_angle_beta 90.00
_cell_angle_gamma 90.00
loop_
_atom_site_label
_atom_site_fract_x
_atom_site_fract_y
_atom_site_fract_z
Na1 0.000 0.084 0.000
Na2 0.500 0.155 0.317
Pu1 0.500 0.453 0.972
Al1 0.000 0.325 0.633
Ge1 0.000 0.387 0.258
Ge2 0.500 0.184 0.721
```

Record 7
The following is a DFT calculation (PBE) of a relaxed structure of MnAl2V.

Summary:
For the formation energy, the calculation gives -0.102 eV/atom. The value obtained for the electronic total energy is -78.55 eV per cell. The total moment is 6.95 μB/cell.

The structure in CIF format:
```
data_MnAl2V
_space_group_name_H-M_alt 'R 3 m'
_space_group_IT_number 160
_space_group_name_Hall 'R 3 -2"'
_cell_length_a 2.7302
_cell_length_b 2.7302
_cell_length_c 25.9324
_cell_angle_alpha 90.00
_cell_angle_beta 90.00
_cell_angle_gamma 120.00
loop_
_atom_site_label
_atom_site_fract_x
_atom_site_fract_y
_atom_site_fract_z
Mn1 0.0000 0.0000 0.0000
Al1 0.0000 0.0000 0.4132
Al2 0.0000 0.0000 0.5855
V1 0.0000 0.0000 0.1654
```

Record 8
The following is a DFT calculation (PBE) of a relaxed structure of HfNpMo.

Summary:
For the formation energy, the calculation gives 0.417 eV/atom. The value obtained for the electronic total energy is -194.85 eV per cell. The total moment is 17.13 μB/cell.

The structure in CIF format:
```
data_HfNpMo
_space_group_name_H-M_alt 'R -3 m'
_space_group_IT_number 166
_space_group_name_Hall '-R 3 2"'
_cell_length_a 4.8283
_cell_length_b 4.8283
_cell_length_c 18.8818
_cell_angle_alpha 90.00
_cell_angle_beta 90.00
_cell_angle_gamma 120.00
loop_
_atom_site_label
_atom_site_fract_x
_atom_site_fract_y
_atom_site_fract_z
Hf1 0.0000 0.0000 0.1352
Np1 0.0000 0.0000 0.2999
Mo1 0.0000 0.0000 0.4305
```

Record 9
The following is a DFT calculation (PBE) of a relaxed structure of LaRu2S2.

Summary:
The value obtained for the electronic total energy is -71.34 eV per cell. For the formation energy without anion corrections, the calculation gives -787 meV/atom. The total moment is 0.00 μB/cell. The polymorph energy (0 for the lowest one) comes out at 0 meV/atom.

The structure in CIF format:
```
data_LaRu2S2
_space_group_name_H-M_alt 'I 4/m m m'
_space_group_IT_number 139
_space_group_name_Hall '-I 4 2'
_cell_length_a 3.967
_cell_length_b 3.967
_cell_length_c 11.259
_cell_angle_alpha 90.00
_cell_angle_beta 90.00
_cell_angle_gamma 90.00
loop_
_atom_site_label
_atom_site_fract_x
_atom_site_fract_y
_atom_site_fract_z
La1 0.000 0.000 0.000
Ru1 0.000 0.500 0.250
S1 0.000 0.000 0.362
```

Record 10
The following is a DFT calculation (PBE) of a relaxed structure of Be2PtCl.

Summary:
The value obtained for the electronic total energy is -29.73 eV per cell. For the formation energy without anion corrections, the calculation gives 119 meV/atom. The total moment is 0.00 μB/cell. The polymorph energy (0 for the lowest one) comes out at 656 meV/atom.

The structure in CIF format:
```
data_Be2PtCl
_space_group_name_H-M_alt 'I -4 m 2'
_space_group_IT_number 119
_space_group_name_Hall 'I -4 -2'
_cell_length_a 3.161
_cell_length_b 3.161
_cell_length_c 12.098
_cell_angle_alpha 90.00
_cell_angle_beta 90.00
_cell_angle_gamma 90.00
loop_
_atom_site_label
_atom_site_fract_x
_atom_site_fract_y
_atom_site_fract_z
Be1 0.000 0.000 0.000
Be2 0.000 0.500 0.250
Pt1 0.000 0.000 0.500
Cl1 0.000 0.500 0.750
```

Record 11
The following is a DFT calculation (PBE) of a relaxed structure of Cs2Sn5Au3.

Summary:
For the formation energy, the calculation gives -0.244 eV/atom. The value obtained for the electronic total energy is -135.95 eV per cell. The total moment is 0.00 μB/cell.

The structure in CIF format:
```
data_Cs2Sn5Au3
_space_group_name_H-M_alt 'I b a m'
_space_group_IT_number 72
_space_group_name_Hall '-I 2 2c'
_cell_length_a 11.791
_cell_length_b 14.180
_cell_length_c 7.128
_cell_angle_alpha 90.00
_cell_angle_beta 90.00
_cell_angle_gamma 90.00
loop_
_atom_site_label
_atom_site_fract_x
_atom_site_fract_y
_atom_site_fract_z
Cs1 0.250 0.128 0.000
Sn1 0.000 0.000 0.250
Sn2 0.000 0.247 0.250
Sn3 0.132 0.384 0.000
Au1 0.000 0.500 0.250
Au2 0.123 0.124 0.500
```